# 1
Computed, not measured: a relaxed SbPN2O crystal at the GGA-PBE level of DFT.

Lattice parameters (Å, degrees): 3.709 3.709 3.516 90.00 90.00 90.00
Space group P4/mmm (No. 123)
Unique sites:
Sb1 0.000 0.000 0.000 [1 per cell]
P1 0.500 0.500 0.500 [1 per cell]
N1 0.000 0.500 0.500 [2 per cell]
O1 0.500 0.500 0.000 [1 per cell]

- Formation energy (no corrections): 20.2 kJ/mol of atoms
- DOS(E_F): 0.04 states/eV per atom

# 2
Computed, not measured: a relaxed ScPNO2 crystal at the GGA-PBE level of DFT.

Lattice parameters (Å, degrees): 3.870 3.870 5.846 90.00 90.00 90.00
Space group P4/mmm (No. 123)
Unique sites:
Sc1 0.000 0.000 0.000 [1 per cell]
P1 0.000 0.000 0.500 [1 per cell]
N1 0.500 0.500 0.500 [1 per cell]
O1 0.000 0.500 0.000 [2 per cell]

- Formation energy (no corrections): 16.8 kJ/mol of atoms
- DOS(E_F): 0.69 states/eV per atom

# 3
Computed, not measured: a relaxed ScPNO2 crystal at the GGA-PBE level of DFT.

Lattice parameters (Å, degrees): 3.987 3.987 4.288 90.00 90.00 90.00
Space group P4/mmm (No. 123)
Unique sites:
Sc1 0.000 0.000 0.000 [1 per cell]
P1 0.500 0.500 0.500 [1 per cell]
N1 0.000 0.000 0.500 [1 per cell]
O1 0.000 0.500 0.000 [2 per cell]

- Formation energy (no corrections): -12.7 kJ/mol of atoms
- DOS(E_F): 0.47 states/eV per atom